Record 1
Here is an optimized crystal structure of Ca2Pb2C from Alexandria. Energies are from PBE.

Cell and atoms, written as POSCAR:
```
Ca2Pb2C
1.0
-3.210 3.210 4.005
3.210 -3.210 4.005
3.210 3.210 -4.005
Ca Pb C
2 2 1
Cartesian
3.210 0.000 2.003
0.000 3.210 2.003
0.000 0.000 1.779
0.000 0.000 6.232
0.000 0.000 4.005
```

## Properties
The value obtained for the energy relative to the elements is 746.1 meV/atom. Its excess energy over the best structure of this formula in the dataset is 184.0 meV per atom.

---

Record 2
Here is an optimized crystal structure of Zr2MnFeAu from Alexandria. Energies are from PBE.

Cell and atoms, written as POSCAR:
```
Zr2MnFeAu
1.0
4.606 0.000 0.000
0.000 4.606 0.000
0.000 0.000 4.798
Zr Mn Fe Au
2 1 1 1
Cartesian
0.000 2.303 0.000
2.303 0.000 0.000
0.000 0.000 2.399
2.303 2.303 0.000
2.303 2.303 2.399
```

## Properties
The value obtained for the energy relative to the elements is 831.2 meV/atom.

---

Record 3
Here is an optimized crystal structure of Pm5SmHo3 from Alexandria. Energies are from PBE.

Cell and atoms, written as POSCAR:
```
Pm5SmHo3
1.0
8.234 -3.379 0.000
8.234 3.379 0.000
-4.004 0.000 10.882
Pm Sm Ho
10 2 6
Cartesian
-0.382 0.028 6.000
1.620 -0.028 0.559
5.231 2.118 8.161
2.792 0.606 7.113
4.795 -0.606 1.672
7.669 0.606 9.210
9.672 -0.606 3.769
7.233 -2.118 2.720
10.843 0.028 10.323
12.846 -0.028 4.882
7.233 1.627 2.720
5.231 -1.627 8.161
0.451 0.668 9.493
2.453 -0.668 4.052
8.234 0.000 0.000
6.232 0.000 5.441
10.011 0.668 6.829
12.013 -0.668 1.388
```

## Properties
The value obtained for the energy relative to the elements is 172.9 meV/atom. Its excess energy over the best structure of this formula in the dataset is 0.0 meV per atom.

---

Question: Look up the energy relative to the elements of the second one.
Answer: 831.2 meV/atom